Below is a geometry-optimized CdP2W structure, with properties calculated at the GGA-PBEsol level.

Cell: 8.140 3.133 5.222 Å, 90.00 97.55 90.00°
Space group C2/m (No. 12)
Symmetry-distinct sites (fractional):
Cd1 0.000 0.000 0.000 (multiplicity 2)
P1 0.221 0.000 0.676 (multiplicity 4)
W1 0.000 0.500 0.500 (multiplicity 2)

Calculated values
**ΔE to the lowest computed polymorph**: 213 meV per atom
**Formation energy**: 0.142 eV per atom
**Fermi-level density of states**: 3.7 states/eV/cell